# Fe2ReRu | Alexandria | PBE | optimized geometry
# * calculated formation energy: 18.6 kJ per mole of atoms
# * DOS(E_F): 13.566 states/eV/cell
data_Fe2ReRu
_cell_length_a 2.6587
_cell_length_b 2.6587
_cell_length_c 25.4269
_cell_angle_alpha 90.00
_cell_angle_beta 90.00
_cell_angle_gamma 120.00
_space_group_name_H-M_alt 'R -3 m'
_space_group_IT_number 166
_space_group_name_Hall '-R 3 2"'
loop_
_atom_site_label
_atom_site_type_symbol
_atom_site_fract_x
_atom_site_fract_y
_atom_site_fract_z
Fe1 Fe 0.0000 0.0000 0.2495
Re1 Re 0.0000 0.0000 0.0000
Ru1 Ru 0.0000 0.0000 0.5000